Compound: MoPbO4
Source: Alexandria via LeMat-Bulk
Functional: PBE with a Hubbard U
Structure: optimized geometry

Properties
**Total DFT energy (no corrections)**: -6.66 eV/atom

Cell: 5.530 5.530 12.277 Å, 90.00 90.00 90.00°
Space group I4_1/a (No. 88, origin choice 2)
Symmetry-distinct sites (fractional):
Mo (0.000, 0.250, 0.125)
Pb (0.000, 0.250, 0.625)
O (0.138, 0.015, 0.206)